Entry from the Alexandria database: a relaxed structure of Dy5HoEr8 (PBE).

ρ	8.628	g/cm³
formation enthalpy at 0 K	0.256	eV per atom
size of the total moment	0.000	μB/atom
symmetry	No. 82

Lattice parameters (Å, degrees): 8.339 8.339 8.339 110.90 110.90 106.64
Fractional coordinates of all 14 atoms:
Dy (0.000, 0.000, 0.000)
Dy (0.312, 0.211, 0.677)
Dy (0.365, 0.688, 0.900)
Dy (0.534, 0.635, 0.323)
Dy (0.789, 0.466, 0.100)
Ho (0.750, 0.250, 0.500)
Er (0.024, 0.770, 0.605)
Er (0.075, 0.337, 0.916)
Er (0.165, 0.418, 0.395)
Er (0.230, 0.835, 0.254)
Er (0.421, 0.159, 0.084)
Er (0.582, 0.976, 0.746)
Er (0.663, 0.579, 0.738)
Er (0.841, 0.925, 0.262)

***

Entry from the Alexandria database: a relaxed structure of AcGdYAg (PBE).

ρ	7.898	g/cm³
formation enthalpy at 0 K	0.164	eV per atom
size of the total moment	2.089	μB/atom
symmetry	No. 216

Lattice parameters (Å, degrees): 5.570 5.570 5.570 60.00 60.00 60.00
Fractional coordinates of all 4 atoms:
Ac (0.000, 0.000, 0.000)
Gd (0.250, 0.250, 0.250)
Y (0.750, 0.750, 0.750)
Ag (0.500, 0.500, 0.500)

***

Entry from the Alexandria database: a relaxed structure of Li2ScTa (PBE).

ρ	5.537	g/cm³
formation enthalpy at 0 K	0.766	eV per atom
size of the total moment	0.000	μB/atom
symmetry	No. 122

Lattice parameters (Å, degrees): 5.849 5.849 5.849 101.75 101.75 126.35
Fractional coordinates of all 8 atoms:
Li (0.122, 0.625, 0.997)
Li (0.375, 0.372, 0.497)
Li (0.628, 0.125, 0.003)
Li (0.875, 0.878, 0.503)
Sc (0.000, 0.000, 0.000)
Sc (0.750, 0.250, 0.500)
Ta (0.250, 0.750, 0.500)
Ta (0.500, 0.500, 0.000)